(A)
HBrCl3: relaxed, PBE.

abc: 4.4859 4.4859 4.4859
angles: 90.00 90.00 90.00
Closest atoms and distances in Å follow each position.
Space group Pm-3m (No. 221)
Unique sites:
H 0.0000 0.0000 0.0000 (multiplicity 1)  6 Cl 2.24
Br 0.5000 0.5000 0.5000 (multiplicity 1)  12 Cl 3.17
Cl 0.0000 0.0000 0.5000 (multiplicity 3)  2 H 2.24

=====

(B)
HBrCl3: relaxed, PBE.

abc: 6.4478 8.5629 13.1889
angles: 90.00 108.07 90.00
Closest atoms and distances in Å follow each position.
Space group P2_1/c (No. 14)
Unique sites:
H 0.0266 0.0865 0.3222 (multiplicity 4)  1 Cl 1.33
Br 0.4962 0.0841 0.2837 (multiplicity 4)  1 Cl 2.23
Cl 0.1129 0.0219 0.0721 (multiplicity 4)  1 Cl 2.04
Cl 0.2089 0.0973 0.4035 (multiplicity 4)  1 H 1.33
Cl 0.2628 0.5718 0.3059 (multiplicity 4)  1 H 2.10, 1 Br 2.23

=====

Winner for stability: (B)

=====

(A)
HS2BrCl: relaxed, PBE.

abc: 4.8895 4.8895 5.4229
angles: 90.00 90.00 90.00
Closest atoms and distances in Å follow each position.
Space group P4/mmm (No. 123)
Unique sites:
H 0.0000 0.0000 0.0000 (multiplicity 1)  4 Cl 3.46, 8 S 3.65
S 0.0000 0.5000 0.5000 (multiplicity 2)  2 Br 2.44
Br 0.5000 0.5000 0.5000 (multiplicity 1)  4 S 2.44, 2 Cl 2.71
Cl 0.5000 0.5000 0.0000 (multiplicity 1)  2 Br 2.71

=====

(B)
HS2BrCl: relaxed, PBE.

abc: 3.7338 3.7338 8.2886
angles: 90.00 90.00 90.00
Closest atoms and distances in Å follow each position.
Space group P4/mmm (No. 123)
Unique sites:
H 0.0000 0.0000 0.0000 (multiplicity 1)  4 S 1.87
S 0.0000 0.5000 0.0000 (multiplicity 2)  2 H 1.87
Br 0.5000 0.5000 0.5000 (multiplicity 1)  4 Cl 2.64
Cl 0.0000 0.0000 0.5000 (multiplicity 1)  4 Br 2.64

=====

Winner for stability: (B)

=====

(A)
Te2HBrCl: relaxed, PBE.

abc: 8.3118 8.3118 2.8471
angles: 90.00 90.00 90.00
Closest atoms and distances in Å follow each position.
Space group P4/mmm (No. 123)
Unique sites:
Te 0.0000 0.5000 0.0000 (multiplicity 2)  2 Te 2.85
H 0.0000 0.0000 0.5000 (multiplicity 1)  2 Cl 1.42
Br 0.5000 0.5000 0.5000 (multiplicity 1)  2 Br 2.85
Cl 0.0000 0.0000 0.0000 (multiplicity 1)  2 H 1.42

=====

(B)
Te2HBrCl: relaxed, PBE.

abc: 6.3938 6.3938 3.3058
angles: 90.00 90.00 90.00
Closest atoms and distances in Å follow each position.
Space group P4/mmm (No. 123)
Unique sites:
Te 0.0000 0.5000 0.0000 (multiplicity 2)  2 Br 3.20, 2 Te 3.31
H 0.0000 0.0000 0.5000 (multiplicity 1)  2 Br 1.65
Br 0.0000 0.0000 0.0000 (multiplicity 1)  2 H 1.65
Cl 0.5000 0.5000 0.5000 (multiplicity 1)  2 Cl 3.31, 8 Te 3.60

=====

Winner for stability: (A)

=====

(A)
HfBrCl2: relaxed, PBE.

abc: 9.1576 9.1576 5.3615
angles: 90.00 90.00 90.00
Closest atoms and distances in Å follow each position.
Space group I-42d (No. 122)
Unique sites:
Hf 0.0000 0.0000 0.0000 (multiplicity 4)  4 Cl 2.55, 2 Br 2.68
Br 0.0000 0.0000 0.5000 (multiplicity 4)  2 Hf 2.68
Cl 0.0979 0.2500 0.1250 (multiplicity 8)  2 Hf 2.55

=====

(B)
HfBrCl2: relaxed, PBE.

abc: 3.2552 3.2552 33.6478
angles: 90.00 90.00 120.00
Closest atoms and distances in Å follow each position.
Space group R-3m (No. 166, hexagonal axes)
Unique sites:
Hf 0.0000 0.0000 0.0000 (multiplicity 3)  6 Cl 2.60
Br 0.0000 0.0000 0.5000 (multiplicity 3)  6 Br 3.26
Cl 0.0000 0.0000 0.3866 (multiplicity 6)  3 Hf 2.60

=====

(C)
HfBrCl2: relaxed, PBE.

abc: 6.8105 6.8105 6.8105
angles: 90.00 90.00 90.00
Closest atoms and distances in Å follow each position.
Space group Fm-3m (No. 225)
Unique sites:
Hf 0.0000 0.0000 0.0000 (multiplicity 4)  8 Cl 2.95
Br 0.0000 0.0000 0.5000 (multiplicity 4)  8 Cl 2.95
Cl 0.2500 0.2500 0.2500 (multiplicity 8)  4 Hf 2.95, 4 Br 2.95

=====

Winner for stability: (A)

=====

(A)
Rb2HfBr6Cl: relaxed, PBE.

abc: 7.7277 7.9556 8.4477
angles: 66.59 62.92 61.21
Closest atoms and distances in Å follow each position.
Space group P1 (No. 1)
Unique sites:
Rb 0.0000 0.0000 0.0000 (multiplicity 1)  1 Cl 3.25
Rb 0.4906 0.4175 0.5582 (multiplicity 1)  1 Cl 3.24, 2 Br 3.61-3.62
Hf 0.7746 0.6926 0.7449 (multiplicity 1)  6 Br 2.58-2.67
Br 0.0235 0.8637 0.4869 (multiplicity 1)  1 Hf 2.58
Br 0.4717 0.5497 0.9657 (multiplicity 1)  1 Hf 2.67, 1 Cl 2.90
Br 0.4897 0.8809 0.5761 (multiplicity 1)  1 Hf 2.67, 1 Cl 2.92
Br 0.5835 0.9786 0.9159 (multiplicity 1)  1 Hf 2.62
Br 0.9533 0.4008 0.5842 (multiplicity 1)  1 Hf 2.62
Br 0.9954 0.4870 0.9613 (multiplicity 1)  1 Hf 2.59
Cl 0.5405 0.2137 0.2681 (multiplicity 1)  2 Br 2.90-2.92, 1 Rb 3.24

=====

(B)
Rb2HfBr6Cl: relaxed, PBE.

abc: 8.5798 8.5798 10.7992
angles: 90.00 90.00 90.00
Closest atoms and distances in Å follow each position.
Space group I4/mmm (No. 139)
Unique sites:
Rb 0.0000 0.5000 0.2500 (multiplicity 4)  12 Br 4.08-4.29
Hf 0.0000 0.0000 0.0000 (multiplicity 2)  6 Br 2.62-2.63
Br 0.0000 0.0000 0.2438 (multiplicity 4)  1 Hf 2.63, 1 Cl 2.77
Br 0.2155 0.2155 0.0000 (multiplicity 8)  1 Hf 2.62
Cl 0.0000 0.0000 0.5000 (multiplicity 2)  2 Br 2.77

=====

Winner for stability: (A)

=====

(A)
HfSBrCl2: relaxed, PBE.

abc: 4.9572 4.9572 5.3848
angles: 90.00 90.00 90.00
Closest atoms and distances in Å follow each position.
Space group P4/mmm (No. 123)
Unique sites:
Hf 0.0000 0.0000 0.0000 (multiplicity 1)  4 S 3.51, 8 Cl 3.66
S 0.5000 0.5000 0.0000 (multiplicity 1)  2 Br 2.69
Br 0.5000 0.5000 0.5000 (multiplicity 1)  4 Cl 2.48, 2 S 2.69
Cl 0.0000 0.5000 0.5000 (multiplicity 2)  2 Br 2.48

=====

(B)
HfSBrCl2: relaxed, PBE.

abc: 4.9876 4.9876 4.9988
angles: 90.00 90.00 90.00
Closest atoms and distances in Å follow each position.
Space group P4/mmm (No. 123)
Unique sites:
Hf 0.0000 0.0000 0.0000 (multiplicity 1)  4 Cl 2.49, 2 S 2.50
S 0.0000 0.0000 0.5000 (multiplicity 1)  2 Hf 2.50
Br 0.5000 0.5000 0.5000 (multiplicity 1)  4 S 3.53, 8 Cl 3.53
Cl 0.0000 0.5000 0.0000 (multiplicity 2)  2 Hf 2.49

=====

Winner for stability: (B)